An optimized crystal structure of BeHgSe. Source: Alexandria, functional GGA-PBE.

a = 6.322 Å, b = 3.649 Å, c = 6.459 Å
α = 90.00°, β = 108.73°, γ = 90.00°
Space group Cm (No. 8)
One atom of each set of equivalent atoms:
1 Be 0.000 0.000 0.000
2 Hg 0.366 0.500 0.596
3 Se 0.200 0.500 0.101

Output
**Raw total energy**: -2.912 eV per atom
**Size of the total moment**: 0.0 μB/f.u.

=====

An optimized crystal structure of Ta2RhBr. Source: Alexandria, functional GGA-PBE.

a = 2.953 Å, b = 4.189 Å, c = 5.804 Å
α = 90.00°, β = 104.41°, γ = 90.00°
Space group P2/m (No. 10)
One atom of each set of equivalent atoms:
1 Ta 0.027 0.000 0.237
2 Rh 0.500 0.500 0.000
3 Br 0.500 0.500 0.500

Output
**Raw total energy**: -7.907 eV per atom
**Size of the total moment**: 0.0 μB/f.u.
**Density of states at the Fermi level**: 2.7 states/eV per cell

=====

An optimized crystal structure of Cs2SbPb. Source: Alexandria, functional GGA-PBE.

a = 9.075 Å, b = 9.075 Å, c = 9.075 Å
α = 90.00°, β = 90.00°, γ = 90.00°
Space group Fm-3m (No. 225)
One atom of each set of equivalent atoms:
1 Cs 0.250 0.250 0.250
2 Sb 0.000 0.000 0.000
3 Pb 0.000 0.000 0.500

Output
**Raw total energy**: -2.305 eV per atom
**Size of the total moment**: 1.0 μB/f.u.
**Density of states at the Fermi level**: 9.9 states/eV per cell

=====

An optimized crystal structure of MnZn2. Source: Alexandria, functional GGA-PBE.

a = 6.068 Å, b = 6.068 Å, c = 6.068 Å
α = 90.00°, β = 90.00°, γ = 90.00°
Space group Pa-3 (No. 205)
One atom of each set of equivalent atoms:
1 Mn 0.000 0.000 0.000
2 Zn 0.129 0.629 0.871

Output
**ΔH_f (0 K)**: 0.66 eV per atom
**Size of the total moment**: 3.4 μB/f.u.
**Density of states at the Fermi level**: 12.1 states/eV per cell

=====

An optimized crystal structure of Ba4Be. Source: Alexandria, functional GGA-PBE.

a = 10.836 Å, b = 10.836 Å, c = 4.138 Å
α = 90.00°, β = 90.00°, γ = 90.00°
Space group I4/m (No. 87)
One atom of each set of equivalent atoms:
1 Ba 0.063 0.244 0.000
2 Be 0.000 0.000 0.500

Output
**ΔH_f (0 K)**: 0.23 eV per atom
**Size of the total moment**: 0.0 μB/f.u.
**Density of states at the Fermi level**: 11.5 states/eV per cell

=====

An optimized crystal structure of NaBS2N. Source: Alexandria, functional GGA-PBE.

a = 5.129 Å, b = 5.129 Å, c = 4.441 Å
α = 90.00°, β = 90.00°, γ = 90.00°
Space group P4/mmm (No. 123)
One atom of each set of equivalent atoms:
1 Na 0.000 0.000 0.000
2 B 0.500 0.500 0.500
3 S 0.000 0.500 0.000
4 N 0.000 0.000 0.500

Output
**Raw total energy**: -2.630 eV per atom
**Size of the total moment**: 5.0 μB/f.u.
**Density of states at the Fermi level**: 3.0 states/eV per cell

=====

An optimized crystal structure of Ba3MgH. Source: Alexandria, functional GGA-PBE.

a = 5.779 Å, b = 5.779 Å, c = 5.779 Å
α = 90.00°, β = 90.00°, γ = 90.00°
Space group Pm-3m (No. 221)
One atom of each set of equivalent atoms:
1 Ba 0.000 0.000 0.500
2 Mg 0.500 0.500 0.500
3 H 0.000 0.000 0.000

Output
**Raw total energy**: -2.258 eV per atom
**Size of the total moment**: 0.0 μB/f.u.
**Density of states at the Fermi level**: 9.2 states/eV per cell

=====

An optimized crystal structure of Th5Zn2Sn5. Source: Alexandria, functional GGA-PBE.

a = 16.158 Å, b = 4.437 Å, c = 11.978 Å
α = 90.00°, β = 129.43°, γ = 90.00°
Space group C2/m (No. 12)
One atom of each set of equivalent atoms:
1 Th 0.000 0.000 0.000
2 Th 0.112 0.000 0.427
3 Th 0.200 0.000 0.836
4 Zn 0.143 0.500 0.261
5 Sn 0.000 0.500 0.500
6 Sn 0.061 0.500 0.852
7 Sn 0.250 0.000 0.308

Output
**ΔH_f (0 K)**: -0.47 eV per atom
**Size of the total moment**: 0.0 μB/f.u.
**Density of states at the Fermi level**: 13.2 states/eV per cell